Entry 1:
{"formula": "Li2CaMo", "functional": "SCAN", "state": "single point on PBEsol structure", "dos_ef_per_ev_cell": 2.89, "space_group": "Pmmm", "formation_energy_mev_per_atom": 684, "de_polymorph_ev_per_atom": 0.041, "dft_energy_ev_per_cell": -46.591, "cell": [[2.721, 0.000, 0.000], [0.000, 4.696, 0.000], [0.000, 0.000, 5.973]], "species": ["Li", "Li", "Ca", "Mo"], "frac_coords": [[0.000, 0.000, 0.200], [0.000, 0.000, 0.800], [0.500, 0.500, 0.500], [0.500, 0.500, 0.000]]}


Entry 2:
{"formula": "LiCaMo2", "functional": "SCAN", "state": "single point on PBEsol structure", "dos_ef_per_ev_cell": 2.19, "space_group": "Pmm2", "formation_energy_mev_per_atom": 636, "de_polymorph_ev_per_atom": 0.142, "dft_energy_ev_per_cell": -79.280, "cell": [[2.666, 0.000, 0.000], [0.000, 4.145, 0.000], [0.000, 0.000, 6.677]], "species": ["Li", "Ca", "Mo", "Mo"], "frac_coords": [[0.000, 0.000, 0.000], [0.500, 0.500, 0.711], [0.000, 0.000, 0.409], [0.500, 0.500, 0.225]]}


Entry 3:
{"formula": "LiCaMo2", "functional": "SCAN", "state": "single point on PBEsol structure", "dos_ef_per_ev_cell": 2.40, "space_group": "P2/m", "formation_energy_mev_per_atom": 661, "de_polymorph_ev_per_atom": 0.167, "dft_energy_ev_per_cell": -79.181, "cell": [[2.758, 0.000, 0.000], [0.000, 5.194, 0.000], [-0.651, 0.000, 4.891]], "species": ["Li", "Ca", "Mo", "Mo"], "frac_coords": [[0.000, 0.000, 0.000], [0.500, 0.000, 0.500], [0.133, 0.500, 0.752], [0.867, 0.500, 0.248]]}


Entry 4:
{"formula": "LiCa4Mo", "functional": "SCAN", "state": "single point on PBEsol structure", "dos_ef_per_ev_cell": 4.95, "space_group": "F-43m", "formation_energy_mev_per_atom": 872, "dft_energy_ev_per_cell": -70.699, "cell": [[0.000, 4.656, 4.656], [4.656, 0.000, 4.656], [4.656, 4.656, 0.000]], "species": ["Li", "Ca", "Ca", "Ca", "Ca", "Mo"], "frac_coords": [[0.000, 0.000, 0.000], [0.127, 0.624, 0.624], [0.624, 0.127, 0.624], [0.624, 0.624, 0.127], [0.624, 0.624, 0.624], [0.250, 0.250, 0.250]]}


Entry 5:
{"formula": "Li2CaMo", "functional": "SCAN", "state": "single point on PBEsol structure", "dos_ef_per_ev_cell": 4.23, "space_group": "C2/m", "formation_energy_mev_per_atom": 643, "de_polymorph_ev_per_atom": 0.000, "dft_energy_ev_per_cell": -93.515, "cell": [[10.288, 0.000, 0.000], [0.000, 2.675, 0.000], [-0.357, 0.000, 5.577]], "species": ["Li", "Li", "Li", "Li", "Ca", "Ca", "Mo", "Mo"], "frac_coords": [[0.242, 0.000, 0.203], [0.258, 0.500, 0.797], [0.742, 0.500, 0.203], [0.758, 0.000, 0.797], [0.000, 0.000, 0.500], [0.500, 0.500, 0.500], [0.000, 0.500, 0.000], [0.500, 0.000, 0.000]]}


Entry 6:
{"formula": "LiCaMo2", "functional": "SCAN", "state": "single point on PBEsol structure", "dos_ef_per_ev_cell": 3.66, "space_group": "Cmmm", "formation_energy_mev_per_atom": 734, "de_polymorph_ev_per_atom": 0.240, "dft_energy_ev_per_cell": -157.775, "cell": [[3.472, 0.000, 0.000], [0.000, 3.917, 0.000], [0.000, 0.000, 9.942]], "species": ["Li", "Li", "Ca", "Ca", "Mo", "Mo", "Mo", "Mo"], "frac_coords": [[0.000, 0.000, 0.000], [0.500, 0.500, 0.000], [0.000, 0.000, 0.500], [0.500, 0.500, 0.500], [0.000, 0.500, 0.235], [0.000, 0.500, 0.765], [0.500, 0.000, 0.235], [0.500, 0.000, 0.765]]}


Entry 7:
{"formula": "LiCaMo3", "functional": "SCAN", "state": "single point on PBEsol structure", "dos_ef_per_ev_cell": 4.82, "space_group": "Pm-3m", "formation_energy_mev_per_atom": 2800, "dft_energy_ev_per_cell": -102.708, "cell": [[4.561, 0.000, 0.000], [0.000, 4.561, 0.000], [0.000, 0.000, 4.561]], "species": ["Li", "Ca", "Mo", "Mo", "Mo"], "frac_coords": [[0.000, 0.000, 0.000], [0.500, 0.500, 0.500], [0.000, 0.500, 0.500], [0.500, 0.000, 0.500], [0.500, 0.500, 0.000]]}


Entry 8:
{"formula": "LiCaMo2", "functional": "SCAN", "state": "single point on PBEsol structure", "dos_ef_per_ev_cell": 4.34, "space_group": "Cm", "formation_energy_mev_per_atom": 602, "de_polymorph_ev_per_atom": 0.108, "dft_energy_ev_per_cell": -158.833, "cell": [[9.048, 0.000, 0.000], [0.000, 2.643, 0.000], [-0.128, 0.000, 6.073]], "species": ["Li", "Li", "Ca", "Ca", "Mo", "Mo", "Mo", "Mo"], "frac_coords": [[0.000, 0.000, 0.000], [0.500, 0.500, 0.000], [0.249, 0.000, 0.715], [0.749, 0.500, 0.715], [0.240, 0.500, 0.238], [0.496, 0.000, 0.415], [0.740, 0.000, 0.238], [0.996, 0.500, 0.415]]}


Entry 9:
{"formula": "Li2CaMo", "functional": "SCAN", "state": "single point on PBEsol structure", "dos_ef_per_ev_cell": 2.94, "space_group": "Pmm2", "formation_energy_mev_per_atom": 690, "de_polymorph_ev_per_atom": 0.047, "dft_energy_ev_per_cell": -46.567, "cell": [[2.668, 0.000, 0.000], [0.000, 4.709, 0.000], [0.000, 0.000, 5.951]], "species": ["Li", "Li", "Ca", "Mo"], "frac_coords": [[0.000, 0.000, 0.000], [0.500, 0.500, 0.252], [0.500, 0.500, 0.717], [0.000, 0.000, 0.460]]}


Entry 10:
{"formula": "LiCaMo2", "functional": "SCAN", "state": "single point on PBEsol structure", "dos_ef_per_ev_cell": 1.80, "space_group": "P4/mmm", "formation_energy_mev_per_atom": 738, "de_polymorph_ev_per_atom": 0.244, "dft_energy_ev_per_cell": -78.873, "cell": [[2.618, 0.000, 0.000], [0.000, 2.618, 0.000], [0.000, 0.000, 9.874]], "species": ["Li", "Ca", "Mo", "Mo"], "frac_coords": [[0.000, 0.000, 0.000], [0.000, 0.000, 0.500], [0.500, 0.500, 0.234], [0.500, 0.500, 0.766]]}


Entry 11:
{"formula": "Li6Ca12Mo4N16O3", "functional": "SCAN", "state": "single point on PBEsol structure", "dos_ef_per_ev_cell": 0.00, "space_group": "I-43d", "dft_energy_ev_per_cell": -994.876, "e_form_raw_mev_per_atom": -1469, "cell": [[-6.467, 6.467, 6.467], [6.467, -6.467, 6.467], [6.467, 6.467, -6.467]], "species": ["Li", "Li", "Li", "Li", "Li", "Li", "Li", "Li", "Li", "Li", "Li", "Li", "Ca", "Ca", "Ca", "Ca", "Ca", "Ca", "Ca", "Ca", "Ca", "Ca", "Ca", "Ca", "Ca", "Ca", "Ca", "Ca", "Ca", "Ca", "Ca", "Ca", "Ca", "Ca", "Ca", "Ca", "Mo", "Mo", "Mo", "Mo", "Mo", "Mo", "Mo", "Mo", "N", "N", "N", "N", "N", "N", "N", "N", "N", "N", "N", "N", "N", "N", "N", "N", "N", "N", "N", "N", "N", "N", "N", "N", "N", "N", "N", "N", "N", "N", "N", "N", "O", "O", "O", "O", "O", "O"], "frac_coords": [[0.024, 0.250, 0.274], [0.226, 0.476, 0.750], [0.250, 0.274, 0.024], [0.250, 0.976, 0.726], [0.274, 0.024, 0.250], [0.476, 0.750, 0.226], [0.524, 0.774, 0.750], [0.726, 0.250, 0.976], [0.750, 0.226, 0.476], [0.750, 0.524, 0.774], [0.774, 0.750, 0.524], [0.976, 0.726, 0.250], [0.039, 0.097, 0.709], [0.058, 0.461, 0.170], [0.097, 0.709, 0.039], [0.112, 0.942, 0.903], [0.170, 0.058, 0.461], [0.209, 0.597, 0.539], [0.291, 0.830, 0.388], [0.330, 0.791, 0.888], [0.388, 0.291, 0.830], [0.403, 0.442, 0.612], [0.442, 0.612, 0.403], [0.461, 0.170, 0.058], [0.539, 0.209, 0.597], [0.558, 0.670, 0.961], [0.597, 0.539, 0.209], [0.612, 0.403, 0.442], [0.670, 0.961, 0.558], [0.709, 0.039, 0.097], [0.791, 0.888, 0.330], [0.830, 0.388, 0.291], [0.888, 0.330, 0.791], [0.903, 0.112, 0.942], [0.942, 0.903, 0.112], [0.961, 0.558, 0.670], [0.000, 0.225, 0.500], [0.000, 0.725, 0.500], [0.225, 0.500, 0.000], [0.275, 0.275, 0.275], [0.500, 0.000, 0.225], [0.500, 0.000, 0.725], [0.725, 0.500, 0.000], [0.775, 0.775, 0.775], [0.000, 0.390, 0.500], [0.000, 0.890, 0.500], [0.051, 0.634, 0.368], [0.083, 0.317, 0.949], [0.110, 0.110, 0.110], [0.132, 0.766, 0.683], [0.134, 0.551, 0.868], [0.183, 0.266, 0.632], [0.234, 0.417, 0.366], [0.266, 0.632, 0.183], [0.317, 0.949, 0.083], [0.366, 0.234, 0.417], [0.368, 0.051, 0.634], [0.390, 0.500, 0.000], [0.417, 0.366, 0.234], [0.449, 0.817, 0.583], [0.500, 0.000, 0.390], [0.500, 0.000, 0.890], [0.551, 0.868, 0.134], [0.583, 0.449, 0.817], [0.610, 0.610, 0.610], [0.632, 0.183, 0.266], [0.634, 0.368, 0.051], [0.683, 0.132, 0.766], [0.734, 0.866, 0.917], [0.766, 0.683, 0.132], [0.817, 0.583, 0.449], [0.866, 0.917, 0.734], [0.868, 0.134, 0.551], [0.890, 0.500, 0.000], [0.917, 0.734, 0.866], [0.949, 0.083, 0.317], [0.125, 0.875, 0.250], [0.250, 0.125, 0.875], [0.375, 0.625, 0.750], [0.625, 0.750, 0.375], [0.750, 0.375, 0.625], [0.875, 0.250, 0.125]]}


Entry 12:
{"formula": "LiCaN", "functional": "SCAN", "state": "single point on PBEsol structure", "dos_ef_per_ev_cell": 0.00, "space_group": "Pnma", "dft_energy_ev_per_cell": -95.093, "e_form_raw_mev_per_atom": -810, "cell": [[8.413, 0.000, 0.000], [0.000, 3.623, 0.000], [0.000, 0.000, 5.486]], "species": ["Li", "Li", "Li", "Li", "Ca", "Ca", "Ca", "Ca", "N", "N", "N", "N"], "frac_coords": [[0.048, 0.250, 0.074], [0.452, 0.750, 0.574], [0.548, 0.250, 0.426], [0.952, 0.750, 0.926], [0.156, 0.250, 0.527], [0.344, 0.750, 0.027], [0.656, 0.250, 0.973], [0.844, 0.750, 0.473], [0.093, 0.750, 0.241], [0.407, 0.250, 0.741], [0.593, 0.750, 0.259], [0.907, 0.250, 0.759]]}